A geometry-optimized GaS2Cl6 structure. Source: Alexandria via LeMat-Bulk, functional PBE.

Formation energy without anion corrections   -0.473 eV per atom

a = 3.5942 Å, b = 9.2793 Å, c = 9.2724 Å
α = 83.26°, β = 54.79°, γ = 101.51°
Last column: nearest neighbours and their distance in Å.
Atoms (fractional coordinates):
1 S 0.3669 0.3817 0.5487  1 Cl 2.02, 1 S 2.06
2 Cl 0.7952 0.7391 0.0471  1 Ga 2.29
3 Cl 0.2890 0.6639 0.6966  1 S 2.02
4 Cl 0.8602 0.0270 0.7671  2 Ga 2.48
5 Cl 0.1398 0.9730 0.2329  2 Ga 2.48
6 S 0.6331 0.6183 0.4513  1 Cl 2.02, 1 S 2.06
7 Ga 0.0000 0.0000 0.0000  6 Cl 2.29-2.48
8 Cl 0.7110 0.3361 0.3034  1 S 2.02
9 Cl 0.2048 0.2609 0.9529  1 Ga 2.29